# 1
Computed, not measured: a relaxed Cd2RuSe crystal at the PBE level of DFT.

Unit cell a=4.746 b=3.313 c=4.958 alpha=90.00 beta=106.03 gamma=90.00
Space group P2/m (No. 10)
Asymmetric unit:
Cd1 0.000 0.000 0.000 x1
Cd2 0.500 0.500 0.000 x1
Ru1 0.000 0.500 0.500 x1
Se1 0.500 0.000 0.500 x1

density of states at the Fermi level = 0.7814 states/eV per atom
formation energy without anion corrections = 326.7 meV per atom
crystal system = monoclinic


# 2
Computed, not measured: a relaxed Cd2RuSe crystal at the PBE level of DFT.

Unit cell a=7.808 b=7.808 c=5.395 alpha=90.00 beta=90.00 gamma=90.00
Space group I-42d (No. 122)
Asymmetric unit:
Cd1 0.247 0.250 0.125 x8
Ru1 0.000 0.000 0.000 x4
Se1 0.000 0.000 0.500 x4

density of states at the Fermi level = 1.2752 states/eV per atom
formation energy without anion corrections = 453.3 meV per atom
crystal system = tetragonal


# 3
Computed, not measured: a relaxed Cd2RuSe crystal at the PBE level of DFT.

Unit cell a=3.1534 b=3.1534 c=27.2034 alpha=90.00 beta=90.00 gamma=120.00
Space group R-3m (No. 166, hexagonal axes)
Asymmetric unit:
Cd1 0.0000 0.0000 0.2452 x6
Ru1 0.0000 0.0000 0.5000 x3
Se1 0.0000 0.0000 0.0000 x3

density of states at the Fermi level = 0.8577 states/eV per atom
formation energy without anion corrections = 365.7 meV per atom
crystal system = trigonal


# 4
Computed, not measured: a relaxed Cd2RuSe crystal at the PBE level of DFT.

Unit cell a=5.472 b=8.306 c=3.337 alpha=90.00 beta=90.00 gamma=90.00
Space group Cmmm (No. 65)
Asymmetric unit:
Cd1 0.250 0.250 0.000 x4
Ru1 0.000 0.000 0.500 x2
Se1 0.000 0.500 0.500 x2

density of states at the Fermi level = 1.0326 states/eV per atom
formation energy without anion corrections = 305.2 meV per atom
crystal system = orthorhombic


# 5
Computed, not measured: a relaxed Cd2RuSe crystal at the PBE level of DFT.

Unit cell a=10.340 b=3.500 c=4.521 alpha=90.00 beta=114.74 gamma=90.00
Space group C2/m (No. 12)
Asymmetric unit:
Cd1 0.247 0.000 0.247 x4
Ru1 0.000 0.500 0.000 x2
Se1 0.000 0.000 0.500 x2

density of states at the Fermi level = 0.9144 states/eV per atom
formation energy without anion corrections = 328.8 meV per atom
crystal system = monoclinic


# 6
Computed, not measured: a relaxed Cd2RuSe crystal at the PBE level of DFT.

Unit cell a=3.092 b=4.628 c=11.896 alpha=90.00 beta=90.00 gamma=90.00
Space group Imm2 (No. 44)
Asymmetric unit:
Cd1 0.000 0.000 0.000 x2
Cd2 0.000 0.500 0.170 x2
Ru1 0.000 0.500 0.703 x2
Se1 0.000 0.000 0.361 x2

density of states at the Fermi level = 0.8662 states/eV per atom
formation energy without anion corrections = -15.7 meV per atom
crystal system = orthorhombic